[1]
A relaxed structure of LiCa2BeGa. Source: Alexandria, functional PBE.

## Properties
energy above the lowest structure with this stoichiometry: 392 meV/atom
density of states at the Fermi level: 4.149 states/eV/f.u.
raw total energy: -10.57 eV per formula unit
space-group type: P4/mmm

Cell: 5.4581 4.2566 5.4581 Å, 90.00 90.00 90.00°
With the nearest neighbours (Å) after each atom.
Fractional positions:
Be 0.0000 0.5000 0.0000  2 Li 2.13
Ga 0.5000 0.5000 0.5000  8 Ca 3.46, 4 Be 3.86
Ca 0.0000 0.0000 0.5000  2 Li 2.73
Ca 0.5000 0.0000 0.0000  2 Li 2.73
Li 0.0000 0.0000 0.0000  2 Be 2.13

[2]
A relaxed structure of Li2CaBeGa. Source: Alexandria, functional PBE.

## Properties
density of states at the Fermi level: 2.407 states/eV/f.u.
raw total energy: -12.69 eV per formula unit
space-group type: P4/mmm

Cell: 4.6999 4.6999 4.3400 Å, 90.00 90.00 90.00°
With the nearest neighbours (Å) after each atom.
Fractional positions:
Be 0.0000 0.0000 0.0000  2 Ga 2.17, 4 Li 2.35
Li 0.0000 0.5000 0.0000  2 Be 2.35
Li 0.5000 0.0000 0.0000  2 Be 2.35
Ca 0.5000 0.5000 0.5000  8 Li 3.20, 4 Ga 3.32
Ga 0.0000 0.0000 0.5000  2 Be 2.17

[3]
A relaxed structure of LiCa2BeGa. Source: Alexandria, functional PBE.

## Properties
energy above the lowest structure with this stoichiometry: 0 meV/atom
density of states at the Fermi level: 2.159 states/eV/f.u.
raw total energy: -12.53 eV per formula unit
space-group type: P4/mmm

Cell: 5.5870 4.2290 5.5870 Å, 90.00 90.00 90.00°
With the nearest neighbours (Å) after each atom.
Fractional positions:
Be 0.0000 0.0000 0.0000  2 Ga 2.11
Li 0.5000 0.5000 0.5000  8 Ca 3.50
Ca 0.0000 0.0000 0.5000  2 Be 2.79
Ca 0.5000 0.0000 0.0000  2 Be 2.79
Ga 0.0000 0.5000 0.0000  2 Be 2.11

[4]
A relaxed structure of CaBeNbGa2. Source: Alexandria, functional PBE.

## Properties
density of states at the Fermi level: 5.310 states/eV/f.u.
raw total energy: -13.62 eV per formula unit
space-group type: P4/mmm

Cell: 4.9789 4.4953 4.9789 Å, 90.00 90.00 90.00°
With the nearest neighbours (Å) after each atom.
Fractional positions:
Ga 0.0000 0.0000 0.5000  2 Ca 2.49
Ga 0.5000 0.0000 0.0000  2 Ca 2.49
Nb 0.5000 0.5000 0.5000  8 Ga 3.35, 4 Be 3.52
Be 0.0000 0.5000 0.0000  2 Ca 2.25
Ca 0.0000 0.0000 0.0000  2 Be 2.25, 4 Ga 2.49

[5]
A relaxed structure of Ca3Be2GaO6. Source: Alexandria, functional PBE.

## Properties
density of states at the Fermi level: 1.808 states/eV/f.u.
ΔE_f (raw): -2367 meV/atom
raw total energy: -74.64 eV per formula unit
space-group type: P-3m1

Cell: 5.3203 5.3203 6.2148 Å, 90.00 90.00 120.00°
With the nearest neighbours (Å) after each atom.
Fractional positions:
O 0.8306 0.6612 0.7013  1 Be 1.54
O 0.1694 0.3388 0.2987  1 Be 1.54
O 0.6612 0.8306 0.2987  1 Be 1.54
O 0.3388 0.1694 0.7013  1 Be 1.54
O 0.8306 0.1694 0.7013  1 Be 1.54
O 0.1694 0.8306 0.2987  1 Be 1.54
Ca 0.6667 0.3333 0.3296  1 Be 2.62, 9 O 2.67-2.76
Ca 0.0000 0.0000 0.0000  6 O 2.43
Ca 0.3333 0.6667 0.6704  1 Be 2.62, 9 O 2.67-2.76
Be 0.6667 0.3333 0.7508  3 O 1.54
Be 0.3333 0.6667 0.2492  3 O 1.54
Ga 0.0000 0.0000 0.5000  6 O 2.00

[6]
A relaxed structure of Ca2BeGaO5. Source: Alexandria, functional PBE.

## Properties
density of states at the Fermi level: 5.137 states/eV/f.u.
ΔE_f (raw): -2307 meV/atom
raw total energy: -56.31 eV per formula unit
space-group type: Cmc2_1

Cell: 3.0765 7.0367 9.5673 Å, 90.00 90.00 102.63°
With the nearest neighbours (Å) after each atom.
Fractional positions:
Ga 0.2064 0.4127 0.0213  5 O 1.91-2.05
Ga 0.7936 0.5873 0.5213  5 O 1.91-2.05
O 0.0483 0.0966 0.0103  2 Be 1.71
O 0.6551 0.3102 0.5108  1 Ga 1.91
O 0.9517 0.9034 0.5103  2 Be 1.71
O 0.6997 0.3993 0.1607  2 Ga 2.04
O 0.5012 0.0024 0.7926  1 Be 1.59
O 0.3196 0.6391 0.3848  1 Be 1.71
O 0.4988 0.9976 0.2926  1 Be 1.59
O 0.3003 0.6007 0.6607  2 Ga 2.04
O 0.3449 0.6898 0.0108  1 Ga 1.91
O 0.6804 0.3609 0.8848  1 Be 1.71
Be 0.5608 0.1216 0.9355  4 O 1.59-1.71
Be 0.4392 0.8784 0.4355  4 O 1.59-1.71
Ca 0.1111 0.2221 0.6832  5 O 2.34-2.61
Ca 0.1269 0.2538 0.3248  6 O 2.36-2.41
Ca 0.8731 0.7462 0.8248  6 O 2.36-2.41
Ca 0.8889 0.7779 0.1832  5 O 2.34-2.61

[7]
A relaxed structure of Ca2Be2GaO6. Source: Alexandria, functional PBE.

## Properties
density of states at the Fermi level: 5.925 states/eV/f.u.
ΔE_f (raw): -2301 meV/atom
raw total energy: -69.54 eV per formula unit
space-group type: R-3m

Cell: 5.2657 5.2657 5.9703 Å, 63.83 63.83 60.00°
With the nearest neighbours (Å) after each atom.
Fractional positions:
O 0.7503 0.2491 0.2504  1 Be 1.52
O 0.7503 0.7503 0.2504  1 Be 1.52
O 0.2497 0.2497 0.7496  1 Be 1.52
O 0.2491 0.7503 0.2504  1 Be 1.52
O 0.2497 0.7509 0.7496  1 Be 1.52
O 0.7509 0.2497 0.7496  1 Be 1.52
Ca 0.2083 0.2083 0.3752  9 O 2.45-2.71
Ca 0.7917 0.7917 0.6248  9 O 2.45-2.71
Be 0.4155 0.4155 0.7535  3 O 1.52
Be 0.5845 0.5845 0.2465  3 O 1.52
Ga 0.0000 0.0000 0.0000  6 O 1.99

[8]
A relaxed structure of CaBeGaPd3. Source: Alexandria, functional PBE.

## Properties
density of states at the Fermi level: 2.509 states/eV/f.u.
raw total energy: -27.53 eV per formula unit
space-group type: Cmcm

Cell: 5.7926 6.0566 6.7973 Å, 116.46 90.00 90.00°
With the nearest neighbours (Å) after each atom.
Fractional positions:
Ga 0.7500 0.6348 0.2695  5 Pd 2.45-2.59
Ga 0.2500 0.3652 0.7305  5 Pd 2.45-2.59
Ca 0.2500 0.7253 0.4506  1 Be 3.04, 2 Ga 3.10, 8 Pd 3.12-3.40
Ca 0.7500 0.2747 0.5494  1 Be 3.04, 2 Ga 3.10, 8 Pd 3.12-3.40
Pd 0.0000 0.2712 0.0000  2 Be 2.21
Pd 0.0000 0.7288 0.0000  2 Be 2.21
Pd 0.5000 0.2712 0.0000  2 Be 2.21
Pd 0.7500 0.8357 0.6714  1 Be 2.30, 1 Ga 2.45
Pd 0.2500 0.1643 0.3286  1 Be 2.30, 1 Ga 2.45
Pd 0.5000 0.7288 0.0000  2 Be 2.21
Be 0.7500 0.0248 0.0496  5 Pd 2.21-2.30
Be 0.2500 0.9752 0.9504  5 Pd 2.21-2.30

[9]
A relaxed structure of CaBeGa2Pd4. Source: Alexandria, functional PBE.

## Properties
density of states at the Fermi level: 2.889 states/eV/f.u.
raw total energy: -37.77 eV per formula unit
space-group type: R-3m

Cell: 4.3096 4.3096 8.6143 Å, 75.51 75.51 60.00°
With the nearest neighbours (Å) after each atom.
Fractional positions:
Ga 0.2416 0.2416 0.2753  7 Pd 2.52-2.71
Ga 0.7584 0.7584 0.7247  7 Pd 2.52-2.71
Pd 0.5914 0.5914 0.2258  1 Be 2.26, 3 Ga 2.52
Pd 0.4086 0.4086 0.7742  1 Be 2.26, 3 Ga 2.52
Pd 0.8651 0.8651 0.4046  3 Be 2.61, 4 Ga 2.64-2.71, 3 Pd 2.89
Pd 0.1349 0.1349 0.5954  3 Be 2.61, 4 Ga 2.64-2.71, 3 Pd 2.89
Ca 0.0000 0.0000 0.0000  8 Pd 3.11-3.34, 6 Ga 3.37
Be 0.5000 0.5000 0.5000  2 Pd 2.26

[10]
A relaxed structure of Ca2Be2GaPd5. Source: Alexandria, functional PBE.

## Properties
density of states at the Fermi level: 3.024 states/eV/f.u.
raw total energy: -47.23 eV per formula unit
space-group type: P4/mbm

Cell: 3.3420 9.7323 9.7323 Å, 90.00 90.00 90.00°
With the nearest neighbours (Å) after each atom.
Fractional positions:
Be 0.0000 0.1210 0.6210  6 Pd 2.36-2.39
Be 0.0000 0.3790 0.1210  6 Pd 2.36-2.39
Be 0.0000 0.6210 0.8790  6 Pd 2.36-2.39
Be 0.0000 0.8790 0.3790  6 Pd 2.36-2.39
Ca 0.0000 0.1769 0.3231  3 Be 2.78-2.95, 10 Pd 2.95-3.10
Ca 0.0000 0.6769 0.1769  3 Be 2.78-2.95, 10 Pd 2.95-3.10
Ca 0.0000 0.3231 0.8231  3 Be 2.78-2.95, 10 Pd 2.95-3.10
Ca 0.0000 0.8231 0.6769  3 Be 2.78-2.95, 10 Pd 2.95-3.10
Ga 0.0000 0.5000 0.5000  8 Pd 2.74
Ga 0.0000 0.0000 0.0000  8 Pd 2.74
Pd 0.5000 0.0670 0.7879  2 Be 2.39
Pd 0.5000 0.7121 0.4330  2 Be 2.39
Pd 0.5000 0.7879 0.9330  2 Be 2.39
Pd 0.5000 0.2121 0.0670  2 Be 2.39
Pd 0.5000 0.9330 0.2121  2 Be 2.39
Pd 0.5000 0.2879 0.5670  2 Be 2.39
Pd 0.5000 0.4330 0.2879  2 Be 2.39
Pd 0.5000 0.5670 0.7121  2 Be 2.39
Pd 0.5000 0.5000 0.0000  4 Be 2.36
Pd 0.5000 0.0000 0.5000  4 Be 2.36

[11]
A relaxed structure of Ca2BeGaPd6. Source: Alexandria, functional PBE.

## Properties
density of states at the Fermi level: 2.832 states/eV/f.u.
raw total energy: -47.71 eV per formula unit
space-group type: P-1

Cell: 5.9743 6.9368 6.9773 Å, 50.65 65.11 90.32°
With the nearest neighbours (Å) after each atom.
Fractional positions:
Ga 0.0000 0.0000 0.0000  6 Pd 2.49-2.50
Pd 0.8017 0.7441 0.9358  1 Be 2.15
Pd 0.2662 0.2192 0.4756  1 Be 2.15
Pd 0.2672 0.7458 0.9415  1 Be 2.15
Pd 0.7328 0.2542 0.0585  1 Be 2.15
Pd 0.1983 0.2559 0.0642  1 Be 2.15
Pd 0.7338 0.7808 0.5244  1 Be 2.15
Ca 0.7337 0.2766 0.5384  7 Pd 3.06-3.40
Ca 0.2663 0.7234 0.4616  7 Pd 3.06-3.40
Be 0.5000 0.5000 0.0000  6 Pd 2.15

[12]
A relaxed structure of CaBeGaPt2. Source: Alexandria, functional PBE.

## Properties
density of states at the Fermi level: 1.949 states/eV/f.u.
raw total energy: -24.55 eV per formula unit
space-group type: I-4m2

Cell: 3.9766 3.9766 6.3029 Å, 108.39 108.39 90.00°
With the nearest neighbours (Å) after each atom.
Fractional positions:
Ga 0.7500 0.2500 0.5000  4 Pt 2.47
Pt 0.6204 0.6204 0.2409  2 Ga 2.47, 2 Be 2.47, 1 Pt 2.72
Pt 0.3796 0.3796 0.7591  2 Be 2.47, 2 Ga 2.47, 1 Pt 2.72
Be 0.2500 0.7500 0.5000  4 Pt 2.47
Ca 0.0000 0.0000 0.0000  8 Pt 3.12, 4 Be 3.45, 4 Ga 3.45